[1]
# LiAlFeNi

Crystalline LiAlFeNi at its relaxed geometry (PBE, the Open Quantum Materials Database).

a = 4.0116 Å, b = 4.0116 Å, c = 4.0116 Å
α = 60.00°, β = 60.00°, γ = 60.00°
Closest atoms and distances in Å follow each position.
Positions (direct):
Li (0.0000, 0.0000, 0.0000)  4 Ni 2.46, 4 Al 2.46
Al (0.2500, 0.2500, 0.2500)  4 Fe 2.46, 4 Li 2.46
Fe (0.5000, 0.5000, 0.5000)  4 Ni 2.46, 4 Al 2.46
Ni (0.7500, 0.7500, 0.7500)  4 Fe 2.46, 4 Li 2.46

Properties
ΔE to the lowest computed polymorph ... 59.8 meV/atom
Calculated total energy ... -19.99 eV per cell
M_tot ... 2.6 μB/cell

---

[2]
# AlCuNiGe

Crystalline AlCuNiGe at its relaxed geometry (PBE, the Open Quantum Materials Database).

a = 4.2166 Å, b = 4.2166 Å, c = 4.2166 Å
α = 60.00°, β = 60.00°, γ = 60.00°
Closest atoms and distances in Å follow each position.
Positions (direct):
Al (0.0000, 0.0000, 0.0000)  4 Ni 2.58, 4 Cu 2.58
Cu (0.7500, 0.7500, 0.7500)  4 Ge 2.58, 4 Al 2.58
Ni (0.2500, 0.2500, 0.2500)  4 Ge 2.58, 4 Al 2.58
Ge (0.5000, 0.5000, 0.5000)  4 Cu 2.58, 4 Ni 2.58

Properties
ΔE to the lowest computed polymorph ... 0.0 meV/atom
Calculated total energy ... -18.12 eV per cell
M_tot ... 0.0 μB/cell

---

[3]
# YScHg2Br6

Crystalline YScHg2Br6 at its relaxed geometry (PBE, the Open Quantum Materials Database).

a = 7.6971 Å, b = 7.6971 Å, c = 7.6971 Å
α = 60.00°, β = 60.00°, γ = 60.00°
Closest atoms and distances in Å follow each position.
Positions (direct):
Y (0.0000, 0.0000, 0.0000)  6 Br 2.79
Sc (0.5000, 0.5000, 0.5000)  6 Br 2.65
Hg (0.2500, 0.2500, 0.2500)  12 Br 3.85
Hg (0.7500, 0.7500, 0.7500)  12 Br 3.85
Br (0.2565, 0.2565, 0.7435)  1 Sc 2.65, 1 Y 2.79
Br (0.2565, 0.7435, 0.2565)  1 Sc 2.65, 1 Y 2.79
Br (0.2565, 0.7435, 0.7435)  1 Sc 2.65, 1 Y 2.79
Br (0.7435, 0.2565, 0.2565)  1 Sc 2.65, 1 Y 2.79
Br (0.7435, 0.2565, 0.7435)  1 Sc 2.65, 1 Y 2.79
Br (0.7435, 0.7435, 0.2565)  1 Sc 2.65, 1 Y 2.79

Properties
Calculated total energy ... -36.13 eV per cell
M_tot ... 0.0 μB/cell

---

[4]
# NdNi4Pd

Crystalline NdNi4Pd at its relaxed geometry (PBE, the Open Quantum Materials Database).

a = 4.9610 Å, b = 4.9610 Å, c = 4.9610 Å
α = 60.00°, β = 60.00°, γ = 60.00°
Closest atoms and distances in Å follow each position.
Positions (direct):
Nd (0.0000, 0.0000, 0.0000)  12 Ni 2.91, 4 Pd 3.04
Ni (0.1288, 0.6237, 0.6237)  6 Ni 2.46-2.51
Ni (0.6237, 0.1288, 0.6237)  6 Ni 2.46-2.51
Ni (0.6237, 0.6237, 0.1288)  6 Ni 2.46-2.51
Ni (0.6237, 0.6237, 0.6237)  6 Ni 2.46-2.51
Pd (0.2500, 0.2500, 0.2500)  12 Ni 2.91, 4 Nd 3.04

Properties
Calculated total energy ... -33.81 eV per cell
M_tot ... 0.0 μB/cell
Energy relative to the elements ... -25.8 kJ per mole of atoms

---

[5]
# SmPuCo

Crystalline SmPuCo at its relaxed geometry (PBE, the Open Quantum Materials Database).

a = 4.6739 Å, b = 4.6739 Å, c = 4.6739 Å
α = 60.00°, β = 60.00°, γ = 60.00°
Closest atoms and distances in Å follow each position.
Positions (direct):
Sm (0.0000, 0.0000, 0.0000)  4 Co 2.86
Pu (0.5000, 0.5000, 0.5000)  4 Co 2.86
Co (0.7500, 0.7500, 0.7500)  4 Sm 2.86, 4 Pu 2.86

Properties
ΔE to the lowest computed polymorph ... 0.0 meV/atom
Calculated total energy ... -25.67 eV per cell
M_tot ... 5.6 μB/cell
Energy relative to the elements ... 8.8 kJ per mole of atoms

---

[6]
# PmAlNO

Crystalline PmAlNO at its relaxed geometry (PBE, the Open Quantum Materials Database).

a = 4.5091 Å, b = 4.5091 Å, c = 5.4390 Å
α = 90.00°, β = 90.00°, γ = 90.00°
Closest atoms and distances in Å follow each position.
Positions (direct):
Pm (0.2500, 0.7500, 0.0000)  4 N 2.39
Pm (0.7500, 0.2500, 0.0000)  4 N 2.39
Al (0.2500, 0.2500, 0.4773)  1 N 1.81
Al (0.7500, 0.7500, 0.5227)  1 N 1.81
N (0.2500, 0.2500, 0.1437)  1 Al 1.81
N (0.7500, 0.7500, 0.8563)  1 Al 1.81
O (0.2500, 0.7500, 0.5000)  4 Al 2.26
O (0.7500, 0.2500, 0.5000)  4 Al 2.26

Properties
ΔE to the lowest computed polymorph ... 495.5 meV/atom
Calculated total energy ... -54.89 eV per cell
M_tot ... 1.5 μB/cell